# 1
Li3NdTm2Te6 after structural relaxation, computed with PBE.

Cell: 7.5459 13.0709 7.4970 Å, 90.00 109.64 90.00°
Last column: nearest neighbours and their distance in Å.
Space group C2/m (No. 12)
Symmetry-distinct sites (fractional):
Li 0.0000 0.0000 0.0000  6 Te 2.98-3.08
Li 0.0000 0.3354 0.0000  6 Te 3.01-3.09
Nd 0.0000 0.5000 0.5000  6 Te 3.16
Tm 0.0000 0.1669 0.5000  6 Te 3.06-3.07
Te 0.2415 0.0000 0.7563  3 Li 2.98-3.06, 2 Tm 3.07, 1 Nd 3.16
Te 0.2428 0.1719 0.2447  3 Li 3.01-3.09, 2 Tm 3.06, 1 Nd 3.16

Results
E_form (uncorrected), eV/f.u.: -15.33
Total magnetization, μB/cell: 0.0



# 2
YMg8Cu4 after structural relaxation, computed with PBE.

Cell: 10.2099 10.2099 4.8522 Å, 90.00 90.00 90.00°
Last column: nearest neighbours and their distance in Å.
Space group I4/m (No. 87)
Symmetry-distinct sites (fractional):
Y 0.0000 0.0000 0.0000  8 Cu 3.07
Mg 0.0663 0.6301 0.0000  1 Cu 2.75, 5 Mg 2.80-2.98
Mg 0.1978 0.2963 0.0000  2 Cu 2.69-2.78, 6 Mg 2.80-2.93
Cu 0.0393 0.1803 0.5000  2 Cu 2.66, 3 Mg 2.69-2.78

Results
Energy above the lowest structure with this stoichiometry, eV/atom: 0.1442
Density of states at the Fermi level, states/eV/f.u.: 6.5
Total magnetization, μB/cell: 0.0
E_form, eV/f.u.: 0.45



# 3
Ac4AlCd2 after structural relaxation, computed with PBE.

Cell: 5.6781 5.6781 27.3542 Å, 90.00 90.00 120.00°
Last column: nearest neighbours and their distance in Å.
Space group R-3m (No. 166, hexagonal axes)
Symmetry-distinct sites (fractional):
Ac 0.0000 0.0000 0.1226  4 Cd 3.44, 3 Al 3.49
Ac 0.0000 0.0000 0.3745  1 Al 3.43, 4 Cd 3.45-3.49
Al 0.0000 0.0000 0.5000  8 Ac 3.43-3.49
Cd 0.0000 0.0000 0.2485  8 Ac 3.44-3.49

Results
Density of states at the Fermi level, states/eV/f.u.: 8.7
Total magnetization, μB/cell: 0.0
E_form, eV/f.u.: -1.00



# 4
HoErBeOs after structural relaxation, computed with PBE.

Cell: 6.7799 6.7799 6.7799 Å, 90.00 90.00 90.00°
Last column: nearest neighbours and their distance in Å.
Space group F-43m (No. 216)
Symmetry-distinct sites (fractional):
Ho 0.0000 0.0000 0.0000  4 Be 2.94, 4 Os 2.94
Er 0.0000 0.0000 0.5000  4 Os 2.94, 4 Be 2.94
Be 0.2500 0.2500 0.7500  4 Ho 2.94, 4 Er 2.94
Os 0.2500 0.2500 0.2500  4 Ho 2.94, 4 Er 2.94

Results
Density of states at the Fermi level, states/eV/f.u.: 3.2
Total magnetization, μB/cell: 0.0
E_form, eV/f.u.: -0.43



# 5
BaNaNi3 after structural relaxation, computed with PBE.

Cell: 4.7737 4.7737 4.7737 Å, 90.00 90.00 90.00°
Last column: nearest neighbours and their distance in Å.
Space group Pm-3m (No. 221)
Symmetry-distinct sites (fractional):
Ba 0.0000 0.0000 0.0000  12 Ni 3.38
Na 0.5000 0.5000 0.5000  6 Ni 2.39
Ni 0.0000 0.5000 0.5000  2 Na 2.39

Results
Energy above the lowest structure with this stoichiometry, eV/atom: 0.0000
Density of states at the Fermi level, states/eV/f.u.: 6.5
Total magnetization, μB/cell: 0.0
E_form, eV/f.u.: 4.98



# 6
Ho3ScBi2 after structural relaxation, computed with PBE.

Cell: 4.4805 4.4805 8.4660 Å, 90.00 90.00 90.00°
Last column: nearest neighbours and their distance in Å.
Space group P-4m2 (No. 115)
Symmetry-distinct sites (fractional):
Ho 0.0000 0.0000 0.0000  4 Sc 3.17, 4 Bi 3.26
Ho 0.0000 0.5000 0.6560  5 Bi 3.19-3.22
Sc 0.5000 0.5000 0.0000  4 Ho 3.17, 4 Bi 3.26
Bi 0.0000 0.5000 0.2792  7 Ho 3.19-3.26, 2 Sc 3.26

Results
Energy above the lowest structure with this stoichiometry, eV/atom: 0.0000
Density of states at the Fermi level, states/eV/f.u.: 4.6
Total magnetization, μB/cell: 0.6
E_form, eV/f.u.: -3.53



# 7
Lu3TlC after structural relaxation, computed with PBE.

Cell: 4.7849 4.7849 4.7849 Å, 90.00 90.00 90.00°
Last column: nearest neighbours and their distance in Å.
Space group Pm-3m (No. 221)
Symmetry-distinct sites (fractional):
Lu 0.0000 0.0000 0.5000  2 C 2.39
Tl 0.5000 0.5000 0.5000  12 Lu 3.38
C 0.0000 0.0000 0.0000  6 Lu 2.39

Results
Density of states at the Fermi level, states/eV/f.u.: 0.5
Total magnetization, μB/cell: 0.0
E_form, eV/f.u.: -2.62



# 8
Zn3AgN after structural relaxation, computed with PBE.

Cell: 4.1913 4.1913 4.1913 Å, 90.00 90.00 90.00°
Last column: nearest neighbours and their distance in Å.
Space group Pm-3m (No. 221)
Symmetry-distinct sites (fractional):
Zn 0.0000 0.0000 0.5000  2 N 2.10
Ag 0.5000 0.5000 0.5000  12 Zn 2.96
N 0.0000 0.0000 0.0000  6 Zn 2.10

Results
Energy above the lowest structure with this stoichiometry, eV/atom: 0.0000
Density of states at the Fermi level, states/eV/f.u.: 1.1
E_form (uncorrected), eV/f.u.: 1.67
Total magnetization, μB/cell: 0.0



# 9
ThTlC after structural relaxation, computed with PBE.

Cell: 6.3806 4.8071 9.3620 Å, 90.00 94.68 90.00°
Last column: nearest neighbours and their distance in Å.
Space group C2/m (No. 12)
Symmetry-distinct sites (fractional):
Th 0.2151 0.0000 0.1535  4 C 2.51-2.54
Tl 0.2267 0.0000 0.5974  3 Tl 3.05-3.29, 2 Th 3.35
C 0.0000 0.3493 0.0000  1 C 1.45

Results
Density of states at the Fermi level, states/eV/f.u.: 2.2
Total magnetization, μB/cell: 0.0
E_form, eV/f.u.: -0.27



# 10
PuMnH2 after structural relaxation, computed with PBE.

Cell: 2.7383 2.7383 16.9163 Å, 90.00 90.00 120.00°
Last column: nearest neighbours and their distance in Å.
Space group R-3m (No. 166, hexagonal axes)
Symmetry-distinct sites (fractional):
Pu 0.0000 0.0000 0.0000  6 H 2.48, 6 Pu 2.74
Mn 0.0000 0.0000 0.5000  6 H 1.82
H 0.0000 0.0000 0.2205  3 Mn 1.82

Results
Density of states at the Fermi level, states/eV/f.u.: 3.5
Raw total energy, eV per atom: -7.5110
Total magnetization, μB/cell: 15.6



# 11
TaSiTe2 after structural relaxation, computed with PBE.

Cell: 3.5141 5.2215 10.0516 Å, 90.00 90.00 90.00°
Last column: nearest neighbours and their distance in Å.
Space group Cmmm (No. 65)
Symmetry-distinct sites (fractional):
Ta 0.0000 0.0000 0.0000  4 Te 2.86, 4 Ta 3.15
Si 0.0000 0.0000 0.5000  6 Si 3.15-3.51, 4 Te 3.28
Te 0.0000 0.5000 0.2243  2 Ta 2.86, 4 Te 3.15

Results
Density of states at the Fermi level, states/eV/f.u.: 3.6
E_form (uncorrected), eV/f.u.: 2.33
Total magnetization, μB/cell: 0.0



# 12
Na2ThSeO6 after structural relaxation, computed with PBE.

Cell: 5.6799 5.6799 4.5877 Å, 90.00 90.00 90.00°
Last column: nearest neighbours and their distance in Å.
Space group P4mm (No. 99)
Symmetry-distinct sites (fractional):
Na 0.0000 0.5000 0.0000  6 O 2.59-2.88
Th 0.0000 0.0000 0.5855  6 O 2.22-2.37
Se 0.5000 0.5000 0.5553  5 O 1.67-1.80
O 0.0000 0.0000 0.1014  2 Th 2.22-2.37
O 0.2829 0.2829 0.6497  1 Se 1.80
O 0.5000 0.5000 0.1921  1 Se 1.67

Results
Density of states at the Fermi level, states/eV/f.u.: 0.0
E_form (uncorrected), eV/f.u.: -18.43
Total magnetization, μB/cell: 0.0



# 13
OsRuSe4 after structural relaxation, computed with PBE.

Cell: 7.6266 7.6266 7.6266 Å, 90.00 90.00 90.00°
Last column: nearest neighbours and their distance in Å.
Space group F-43m (No. 216)
Symmetry-distinct sites (fractional):
Os 0.0000 0.0000 0.0000  12 Se 3.16, 4 Ru 3.30
Ru 0.2500 0.2500 0.7500  12 Se 3.16, 4 Os 3.30
Se 0.1249 0.1249 0.3751  6 Se 2.69-2.70

Results
Density of states at the Fermi level, states/eV/f.u.: 6.8
E_form (uncorrected), eV/f.u.: 10.08
Total magnetization, μB/cell: 8.6



# 14
AgBi2PbSe4 after structural relaxation, computed with PBE.

Cell: 7.2430 4.4548 7.3140 Å, 90.00 111.40 90.00°
Last column: nearest neighbours and their distance in Å.
Space group P2/m (No. 10)
Symmetry-distinct sites (fractional):
Ag 0.0000 0.0000 0.0000  6 Se 2.98-3.00
Bi 0.5000 0.0000 0.5000  6 Se 3.03-3.05
Bi 0.5000 0.5000 0.0000  6 Se 2.96-2.99
Pb 0.0000 0.5000 0.5000  6 Se 3.05-3.07
Se 0.2496 0.5000 0.2417  3 Bi 2.96-3.05, 2 Ag 3.00, 1 Pb 3.05
Se 0.2552 0.0000 0.7593  1 Ag 2.98, 3 Bi 2.99-3.03, 2 Pb 3.07

Results
Density of states at the Fermi level, states/eV/f.u.: 2.3
E_form (uncorrected), eV/f.u.: -2.33
Total magnetization, μB/cell: 0.0



# 15
Cs3Pu2TiSe6 after structural relaxation, computed with PBE.

Cell: 7.2532 12.5578 8.6758 Å, 90.00 106.22 90.00°
Last column: nearest neighbours and their distance in Å.
Space group C2/m (No. 12)
Symmetry-distinct sites (fractional):
Cs 0.0000 0.0000 0.0000  6 Se 3.55-3.70
Cs 0.0000 0.3296 0.0000  6 Se 3.55-3.68
Pu 0.0000 0.1664 0.5000  6 Se 2.92
Ti 0.0000 0.5000 0.5000  6 Se 2.71-2.72
Se 0.2155 0.3446 0.6799  1 Ti 2.71, 2 Pu 2.92
Se 0.2497 0.0000 0.6818  1 Ti 2.72, 2 Pu 2.92

Results
Density of states at the Fermi level, states/eV/f.u.: 24.1
E_form (uncorrected), eV/f.u.: -15.84
Total magnetization, μB/cell: 22.0



# 16
Rb2Li3Tl12Sn after structural relaxation, computed with PBE.

Cell: 9.5300 9.5300 23.5202 Å, 90.00 90.00 120.00°
Last column: nearest neighbours and their distance in Å.
Space group R-3m (No. 166, hexagonal axes)
Symmetry-distinct sites (fractional):
Rb 0.0000 0.0000 0.0756  6 Tl 3.56-3.61, 1 Rb 3.56
Li 0.0000 0.5000 0.0000  4 Tl 2.84
Tl 0.0761 0.5380 0.8666  1 Li 3.20, 3 Tl 3.40-3.56, 1 Sn 3.47
Tl 0.0957 0.5478 0.2724  2 Li 2.84, 1 Sn 3.17
Sn 0.0000 0.0000 0.5000  12 Tl 3.17-3.47

Results
Density of states at the Fermi level, states/eV/f.u.: 11.1
Total magnetization, μB/cell: 0.0
E_form, eV/f.u.: 0.31



# 17
PuMnB after structural relaxation, computed with PBE.

Cell: 3.6633 3.6633 3.7340 Å, 90.00 90.00 120.00°
Last column: nearest neighbours and their distance in Å.
Space group P-6m2 (No. 187)
Symmetry-distinct sites (fractional):
Pu 0.0000 0.0000 0.0000  6 Mn 2.82, 6 B 2.82
Mn 0.6667 0.3333 0.5000  3 B 2.12
B 0.3333 0.6667 0.5000  3 Mn 2.12

Results
Energy above the lowest structure with this stoichiometry, eV/atom: 0.0000
Density of states at the Fermi level, states/eV/f.u.: 5.3
Total magnetization, μB/cell: 3.6
E_form, eV/f.u.: -0.18



# 18
NaNdCdPt after structural relaxation, computed with PBE.

Cell: 7.0878 7.0878 7.0878 Å, 90.00 90.00 90.00°
Last column: nearest neighbours and their distance in Å.
Space group F-43m (No. 216)
Symmetry-distinct sites (fractional):
Na 0.0000 0.0000 0.0000  4 Nd 3.07, 4 Cd 3.07
Nd 0.2500 0.2500 0.7500  4 Na 3.07, 4 Pt 3.07
Cd 0.2500 0.2500 0.2500  4 Na 3.07, 4 Pt 3.07
Pt 0.0000 0.0000 0.5000  4 Cd 3.07, 4 Nd 3.07

Results
Density of states at the Fermi level, states/eV/f.u.: 4.1
Total magnetization, μB/cell: 0.0
E_form, eV/f.u.: -1.67



# 19
VHg2Mo after structural relaxation, computed with PBE.

Cell: 6.6448 6.6448 6.6448 Å, 90.00 90.00 90.00°
Last column: nearest neighbours and their distance in Å.
Space group Fm-3m (No. 225)
Symmetry-distinct sites (fractional):
V 0.0000 0.0000 0.0000  8 Hg 2.88
Hg 0.2500 0.2500 0.2500  4 Mo 2.88, 4 V 2.88
Mo 0.0000 0.0000 0.5000  8 Hg 2.88

Results
Energy above the lowest structure with this stoichiometry, eV/atom: 0.0000
Density of states at the Fermi level, states/eV/f.u.: 4.2
Total magnetization, μB/cell: 5.2
E_form, eV/f.u.: 2.66



# 20
BaCd3Bi after structural relaxation, computed with PBE.

Cell: 5.8266 5.8266 5.8266 Å, 90.00 90.00 90.00°
Last column: nearest neighbours and their distance in Å.
Space group Pm-3m (No. 221)
Symmetry-distinct sites (fractional):
Ba 0.0000 0.0000 0.0000  12 Cd 4.12
Cd 0.0000 0.5000 0.5000  2 Bi 2.91
Bi 0.5000 0.5000 0.5000  6 Cd 2.91

Results
Energy above the lowest structure with this stoichiometry, eV/atom: 0.0000
Density of states at the Fermi level, states/eV/f.u.: 4.5
Total magnetization, μB/cell: 0.0
E_form, eV/f.u.: 0.50